This record from Alexandria via LeMat-Bulk describes a relaxed Ho3ScAg2 crystal. The functional is PBE.

VASP energy = -0.1650 Ha/atom
total moment = 0.00 μB per formula unit
ΔH_f (0 K) = -0.195 eV per atom

a b c (Å): 3.5826 3.5826 11.7599
angles (deg): 90.00 90.00 90.00
Last column: nearest neighbours and their distance in Å.
Space group P4/mmm (No. 123)
Inequivalent atoms, fractional coordinates:
Ho1 0.0000 0.0000 0.0000 [1 per cell]  8 Ag 3.14
Ho2 0.0000 0.0000 0.3119 [2 per cell]  4 Ag 3.12, 4 Sc 3.36
Sc1 0.5000 0.5000 0.5000 [1 per cell]  8 Ho 3.36, 4 Sc 3.58
Ag1 0.5000 0.5000 0.1572 [2 per cell]  8 Ho 3.12-3.14


This record from Alexandria via LeMat-Bulk describes a relaxed Ho2ScAg crystal. The functional is PBE.

E above lowest polymorph = 0.068 eV per atom
VASP energy = -0.1702 Ha/atom
total moment = 0.00 μB per formula unit
ΔH_f (0 K) = -0.048 eV per atom

a b c (Å): 5.2626 5.2626 3.6622
angles (deg): 90.00 90.00 90.00
Last column: nearest neighbours and their distance in Å.
Space group P4/mmm (No. 123)
Inequivalent atoms, fractional coordinates:
Ho1 0.0000 0.5000 0.0000 [2 per cell]  4 Sc 3.21, 4 Ag 3.21
Sc1 0.0000 0.0000 0.5000 [1 per cell]  8 Ho 3.21
Ag1 0.5000 0.5000 0.5000 [1 per cell]  8 Ho 3.21


This record from Alexandria via LeMat-Bulk describes a relaxed HoSc2Ag crystal. The functional is PBE.

E above lowest polymorph = 0.019 eV per atom
VASP energy = -0.1878 Ha/atom
total moment = 0.00 μB per formula unit
ΔH_f (0 K) = -0.087 eV per atom

a b c (Å): 3.4669 3.4669 7.9914
angles (deg): 90.00 90.00 90.00
Last column: nearest neighbours and their distance in Å.
Space group P4/mmm (No. 123)
Inequivalent atoms, fractional coordinates:
Ho1 0.0000 0.0000 0.0000 [1 per cell]  8 Sc 3.37, 4 Ho 3.47
Sc1 0.5000 0.5000 0.2901 [2 per cell]  4 Ag 2.97
Ag1 0.0000 0.0000 0.5000 [1 per cell]  8 Sc 2.97


This record from Alexandria via LeMat-Bulk describes a relaxed HoSc2Ag2 crystal. The functional is PBE.

E above lowest polymorph = 0.164 eV per atom
VASP energy = -0.1705 Ha/atom
total moment = 0.00 μB per formula unit
ΔH_f (0 K) = -0.050 eV per atom

a b c (Å): 4.9142 4.9142 5.8391
angles (deg): 90.00 90.00 120.00
Last column: nearest neighbours and their distance in Å.
Space group P-3m1 (No. 164)
Inequivalent atoms, fractional coordinates:
Ho1 0.0000 0.0000 0.0000 [1 per cell]  6 Ag 2.99
Sc1 0.3333 0.6667 0.6485 [2 per cell]  5 Ag 2.83-3.04
Ag1 0.3333 0.6667 0.1635 [2 per cell]  5 Sc 2.83-3.04, 3 Ho 2.99


This record from Alexandria via LeMat-Bulk describes a relaxed HoSc5Ag4 crystal. The functional is PBE.

VASP energy = -0.1824 Ha/atom
total moment = 0.00 μB per formula unit
ΔH_f (0 K) = -0.200 eV per atom

a b c (Å): 3.4160 3.4160 18.6381
angles (deg): 90.00 90.00 90.00
Last column: nearest neighbours and their distance in Å.
Space group P4/mmm (No. 123)
Inequivalent atoms, fractional coordinates:
Ho1 0.0000 0.0000 0.0000 [1 per cell]  8 Sc 3.38, 4 Ho 3.42
Sc1 0.5000 0.5000 0.1271 [2 per cell]  4 Ag 2.97
Sc2 0.5000 0.5000 0.3131 [2 per cell]  8 Ag 2.97-2.99
Sc3 0.5000 0.5000 0.5000 [1 per cell]  8 Ag 2.97
Ag1 0.0000 0.0000 0.2199 [2 per cell]  8 Sc 2.97
Ag2 0.0000 0.0000 0.4076 [2 per cell]  8 Sc 2.97-2.99


This record from Alexandria via LeMat-Bulk describes a relaxed HoScAg4 crystal. The functional is PBE.

E above lowest polymorph = 0.000 eV per atom
VASP energy = -0.1477 Ha/atom
total moment = 0.00 μB per formula unit
ΔH_f (0 K) = -0.300 eV per atom

a b c (Å): 9.7987 3.6471 7.3163
angles (deg): 90.00 111.78 90.00
Last column: nearest neighbours and their distance in Å.
Space group C2/m (No. 12)
Inequivalent atoms, fractional coordinates:
Ho1 0.0000 0.0000 0.0000 [2 per cell]  10 Ag 3.03-3.04
Sc1 0.0000 0.0000 0.5000 [2 per cell]  10 Ag 2.95-3.03
Ag1 0.1671 0.5000 0.3431 [4 per cell]  5 Ag 2.91-3.04, 3 Sc 2.95-3.03, 2 Ho 3.04
Ag2 0.1669 0.5000 0.8222 [4 per cell]  2 Sc 2.95, 5 Ag 2.98-3.10, 3 Ho 3.03-3.04


This record from Alexandria via LeMat-Bulk describes a relaxed Ho2ScAg crystal. The functional is PBE.

E above lowest polymorph = 0.000 eV per atom
VASP energy = -0.1727 Ha/atom
total moment = 0.00 μB per formula unit
ΔH_f (0 K) = -0.116 eV per atom

a b c (Å): 3.4991 3.4991 8.4687
angles (deg): 90.00 90.00 90.00
Last column: nearest neighbours and their distance in Å.
Space group P4/mmm (No. 123)
Inequivalent atoms, fractional coordinates:
Ho1 0.0000 0.0000 0.2286 [2 per cell]  4 Ag 3.14, 4 Sc 3.38, 4 Ho 3.50
Sc1 0.5000 0.5000 0.5000 [1 per cell]  8 Ho 3.38, 4 Sc 3.50
Ag1 0.5000 0.5000 0.0000 [1 per cell]  8 Ho 3.14, 4 Ag 3.50


This record from Alexandria via LeMat-Bulk describes a relaxed Ho3ScAg4Se8 crystal. The functional is PBE.

VASP energy = -0.1777 Ha/atom
E_form (uncorrected) = -1.127 eV/atom
total moment = 0.00 μB per formula unit

a b c (Å): 13.8394 8.2175 8.0872
angles (deg): 90.00 124.05 90.00
Last column: nearest neighbours and their distance in Å.
Space group C2/m (No. 12)
Inequivalent atoms, fractional coordinates:
Ho1 0.0000 0.0000 0.0000 [2 per cell]  6 Se 2.85-2.87
Ho2 0.2500 0.2500 0.5000 [4 per cell]  6 Se 2.86-2.87
Sc1 0.0000 0.5000 0.0000 [2 per cell]  6 Se 2.78-2.79
Ag1 0.0000 0.0000 0.5000 [2 per cell]  6 Se 2.95-2.98
Ag2 0.0000 0.5000 0.5000 [2 per cell]  6 Se 2.88-2.90
Ag3 0.2500 0.2500 0.0000 [4 per cell]  6 Se 2.87-2.91
Se1 0.0006 0.2571 0.2402 [8 per cell]  1 Sc 2.78, 2 Ho 2.87, 3 Ag 2.87-2.98
Se2 0.2428 0.5000 0.2461 [4 per cell]  1 Sc 2.79, 2 Ho 2.87, 3 Ag 2.90-2.95
Se3 0.2487 0.0000 0.2534 [4 per cell]  3 Ho 2.85-2.86, 3 Ag 2.88-2.91


This record from Alexandria via LeMat-Bulk describes a relaxed HoScAg2Se4 crystal. The functional is PBE.

VASP energy = -0.1806 Ha/atom
E_form (uncorrected) = -1.095 eV/atom
total moment = 0.00 μB per formula unit

a b c (Å): 7.0051 4.0600 7.0247
angles (deg): 90.00 110.81 90.00
Last column: nearest neighbours and their distance in Å.
Space group P2/m (No. 10)
Inequivalent atoms, fractional coordinates:
Ho1 0.0000 0.0000 0.0000 [1 per cell]  6 Se 2.85-2.86
Sc1 0.0000 0.5000 0.5000 [1 per cell]  6 Se 2.76-2.78
Ag1 0.5000 0.0000 0.5000 [1 per cell]  6 Se 2.85-2.92
Ag2 0.5000 0.5000 0.0000 [1 per cell]  6 Se 2.91-3.02
Se1 0.2353 0.0000 0.7407 [2 per cell]  2 Sc 2.78, 1 Ho 2.86, 3 Ag 2.91-2.92
Se2 0.2385 0.5000 0.2613 [2 per cell]  1 Sc 2.76, 2 Ho 2.85, 3 Ag 2.85-3.02


This record from Alexandria via LeMat-Bulk describes a relaxed HoScSiAg crystal. The functional is PBE.

VASP energy = -0.1921 Ha/atom
E_form (uncorrected) = -0.431 eV/atom
total moment = 0.43 μB per formula unit

a b c (Å): 6.9173 6.9173 6.9173
angles (deg): 90.00 90.00 90.00
Last column: nearest neighbours and their distance in Å.
Space group F-43m (No. 216)
Inequivalent atoms, fractional coordinates:
Ho1 0.0000 0.0000 0.0000 [4 per cell]  4 Si 3.00, 4 Ag 3.00
Sc1 0.0000 0.0000 0.5000 [4 per cell]  4 Ag 3.00, 4 Si 3.00
Si1 0.2500 0.2500 0.7500 [4 per cell]  4 Ho 3.00, 4 Sc 3.00
Ag1 0.2500 0.2500 0.2500 [4 per cell]  4 Ho 3.00, 4 Sc 3.00


This record from Alexandria via LeMat-Bulk describes a relaxed SmHoScAg crystal. The functional is PBE.

VASP energy = -0.1685 Ha/atom
total moment = 0.00 μB per formula unit
ΔH_f (0 K) = 0.034 eV per atom

a b c (Å): 7.4881 7.4881 7.4881
angles (deg): 90.00 90.00 90.00
Last column: nearest neighbours and their distance in Å.
Space group F-43m (No. 216)
Inequivalent atoms, fractional coordinates:
Sm1 0.0000 0.0000 0.0000 [4 per cell]  4 Sc 3.24, 4 Ag 3.24
Ho1 0.0000 0.0000 0.5000 [4 per cell]  4 Sc 3.24, 4 Ag 3.24
Sc1 0.2500 0.2500 0.2500 [4 per cell]  4 Ho 3.24, 4 Sm 3.24
Ag1 0.2500 0.2500 0.7500 [4 per cell]  4 Ho 3.24, 4 Sm 3.24


This record from Alexandria via LeMat-Bulk describes a relaxed HoSc2Tl2Ag2 crystal. The functional is PBE.

VASP energy = -0.1509 Ha/atom
total moment = 0.00 μB per formula unit
ΔH_f (0 K) = -0.152 eV per atom

a b c (Å): 4.7615 4.7615 24.9850
angles (deg): 90.00 90.00 120.00
Last column: nearest neighbours and their distance in Å.
Space group R-3m (No. 166, hexagonal axes)
Inequivalent atoms, fractional coordinates:
Ho1 0.0000 0.0000 0.0000 [3 per cell]  6 Tl 3.25, 2 Sc 3.39
Sc1 0.0000 0.0000 0.1358 [6 per cell]  3 Ag 2.84, 3 Sc 3.15
Tl1 0.0000 0.0000 0.2639 [6 per cell]  3 Ag 2.91, 4 Sc 3.20-3.21, 3 Ho 3.25
Ag1 0.0000 0.0000 0.4404 [6 per cell]  3 Sc 2.84, 3 Tl 2.91, 1 Ag 2.98


This record from Alexandria via LeMat-Bulk describes a relaxed YHoScAg crystal. The functional is PBE.

VASP energy = -0.1847 Ha/atom
total moment = 0.00 μB per formula unit
ΔH_f (0 K) = 0.029 eV per atom

a b c (Å): 7.4415 7.4415 7.4415
angles (deg): 90.00 90.00 90.00
Last column: nearest neighbours and their distance in Å.
Space group F-43m (No. 216)
Inequivalent atoms, fractional coordinates:
Y1 0.0000 0.0000 0.0000 [4 per cell]  4 Sc 3.22, 4 Ag 3.22
Ho1 0.0000 0.0000 0.5000 [4 per cell]  4 Sc 3.22, 4 Ag 3.22
Sc1 0.2500 0.2500 0.7500 [4 per cell]  4 Ho 3.22, 4 Y 3.22
Ag1 0.2500 0.2500 0.2500 [4 per cell]  4 Ho 3.22, 4 Y 3.22